# 1
The following is a GGA-PBE calculation of Be3BSe after structural relaxation, from the Alexandria database.

## Properties
formation energy (no corrections) = 0.3222 eV/atom
raw total energy = -3.946 eV per atom
E above lowest polymorph = 0.0 meV per atom

Cell and atoms, written as POSCAR:
```
Be3BSe
1.0
3.829 0.000 0.000
0.000 3.829 0.000
0.000 0.000 3.829
Be B Se
3 1 1
direct
0.000 0.000 0.500
0.000 0.500 0.000
0.500 0.000 0.000
0.000 0.000 0.000
0.500 0.500 0.500
```

---

# 2
The following is a GGA-PBE calculation of BeB2Se after structural relaxation, from the Alexandria database.

## Properties
formation energy (no corrections) = 0.8157 eV/atom
raw total energy = -4.326 eV per atom
E above lowest polymorph = 0.0 meV per atom

Cell and atoms, written as POSCAR:
```
BeB2Se
1.0
-2.398 2.398 4.355
2.398 -2.398 4.355
2.398 2.398 -4.355
Be B Se
2 4 2
direct
0.000 0.000 0.000
0.750 0.250 0.500
0.109 0.625 0.984
0.375 0.359 0.484
0.641 0.125 0.016
0.875 0.891 0.516
0.250 0.750 0.500
0.500 0.500 0.000
```

---

# 3
The following is a GGA-PBE calculation of Be3BSe after structural relaxation, from the Alexandria database.

## Properties
formation energy (no corrections) = 1.6309 eV/atom
raw total energy = -2.637 eV per atom
E above lowest polymorph = 1308.7 meV per atom

Cell and atoms, written as POSCAR:
```
Be3BSe
1.0
4.167 0.000 0.000
0.000 4.167 0.000
0.000 0.000 4.167
Be B Se
3 1 1
direct
0.000 0.000 0.500
0.000 0.500 0.000
0.500 0.000 0.000
0.500 0.500 0.500
0.000 0.000 0.000
```

---

# 4
The following is a GGA-PBE calculation of BeB3Se after structural relaxation, from the Alexandria database.

## Properties
formation energy (no corrections) = 1.6462 eV/atom
raw total energy = -3.802 eV per atom
E above lowest polymorph = 0.0 meV per atom

Cell and atoms, written as POSCAR:
```
BeB3Se
1.0
3.827 0.000 0.000
0.000 3.827 0.000
0.000 0.000 3.827
Be B Se
1 3 1
direct
0.000 0.000 0.000
0.000 0.000 0.500
0.000 0.500 0.000
0.500 0.000 0.000
0.500 0.500 0.500
```

---

Among the records above, which one has the highest E above lowest polymorph? number 3